Density functional theory data (PBE) for a geometry-optimized MgScHg2 structure.

Its final energy is -2.128 eV/atom. As for the crystal system: hexagonal. Its space group is P6_3/mmc, No. 194.

Cell: 4.981 4.981 8.638 Å, 90.00 90.00 120.00°
Fractional coordinates of all 8 atoms:
Mg: 0.000 0.000 0.250
Mg: 0.000 0.000 0.750
Sc: 0.333 0.667 0.250
Sc: 0.667 0.333 0.750
Hg: 0.333 0.667 0.583
Hg: 0.333 0.667 0.917
Hg: 0.667 0.333 0.083
Hg: 0.667 0.333 0.417